Record 1
InRe PBE-GGA optimized geometry; excess energy over the best structure of this formula in the dataset = 0.3617 eV/atom; ΔE_f = 108 kJ/mol of formula units; V = 19.32 Å³/atom; energy = -0.5171 Ry/atom; magnetic moment = 0.0 μB/f.u.
1.0
4.340 0.000 0.000
0.000 5.693 0.000
0.000 0.000 6.255
Re In
4 4
direct
0.750 0.108 0.528
0.750 0.392 0.028
0.250 0.892 0.472
0.250 0.608 0.972
0.750 0.890 0.137
0.250 0.110 0.863
0.750 0.610 0.637
0.250 0.390 0.363

=====

Record 2
InRe PBE-GGA optimized geometry; excess energy over the best structure of this formula in the dataset = 0.4886 eV/atom; ΔE_f = 132 kJ/mol of formula units; V = 17.98 Å³/atom; energy = -0.5077 Ry/atom; magnetic moment = 0.0 μB/f.u.
1.0
3.142 0.000 0.000
0.000 4.560 0.000
0.000 0.000 5.019
In Re
2 2
direct
0.000 0.500 0.337
0.000 0.000 0.996
0.500 0.500 0.803
0.500 0.000 0.530

=====

Record 3
In4Re5 PBE-GGA optimized geometry; excess energy over the best structure of this formula in the dataset = 0.0000 eV/atom; ΔE_f = 489 kJ/mol of formula units; V = 18.12 Å³/atom; energy = -0.5563 Ry/atom; magnetic moment = 0.0 μB/f.u.
1.0
4.426 2.107 4.383
-6.457 -0.234 -1.221
0.647 -6.389 1.412
Re In
5 4
direct
0.352 0.648 0.000
0.352 0.352 0.705
0.648 0.648 0.295
0.648 0.352 0.000
0.000 0.000 0.000
0.000 0.686 0.686
0.314 0.000 0.314
0.000 0.314 0.314
0.686 0.000 0.686

=====

Record 4
In3Re2 PBE-GGA optimized geometry; excess energy over the best structure of this formula in the dataset = 0.2577 eV/atom; ΔE_f = 321 kJ/mol of formula units; V = 19.75 Å³/atom; energy = -0.4379 Ry/atom; magnetic moment = 0.0 μB/f.u.
1.0
-9.325 -1.384 -9.083
-7.949 -3.954 -9.620
-10.027 -3.798 -7.511
In Re
3 2
direct
0.212 0.212 0.212
0.788 0.788 0.788
0.000 0.000 0.000
0.608 0.608 0.608
0.392 0.392 0.392

=====

Record 5
InRe PBE-GGA optimized geometry; excess energy over the best structure of this formula in the dataset = 2.2405 eV/atom; ΔE_f = 470 kJ/mol of formula units; V = 36.11 Å³/atom; energy = -0.3790 Ry/atom; magnetic moment = 2.1 μB/f.u.
1.0
7.567 0.000 0.000
0.000 7.567 0.000
0.000 0.000 7.567
Re In
6 6
direct
0.500 0.750 0.000
0.250 0.000 0.500
0.750 0.000 0.500
0.000 0.500 0.750
0.500 0.250 0.000
0.000 0.500 0.250
0.000 0.250 0.500
0.000 0.750 0.500
0.500 0.000 0.250
0.250 0.500 0.000
0.750 0.500 0.000
0.500 0.000 0.750

=====

Record 6
InRe2 PBE-GGA optimized geometry; ΔE_f = 527 kJ/mol of formula units; V = 21.08 Å³/atom; energy = -0.5431 Ry/atom; magnetic moment = 0.0 μB/f.u.
1.0
6.324 0.000 0.000
0.000 6.324 0.000
0.000 0.000 6.324
In Re
4 8
direct
0.000 0.500 0.500
0.500 0.500 0.000
0.000 0.000 0.000
0.500 0.000 0.500
0.104 0.604 0.104
0.604 0.896 0.896
0.896 0.396 0.896
0.396 0.396 0.604
0.604 0.604 0.396
0.896 0.104 0.396
0.396 0.104 0.104
0.104 0.896 0.604